A geometry-optimized PRhF2 structure, computed with PBE.

Calculated values
Crystal system ... tetragonal
Symmetry ... I-42d (122)
Formation energy without anion corrections ... -668 meV/atom
M_tot ... 0.000 μB per atom
Energy ... -19.18 eV/f.u.

a b c (Å): 8.2157 8.2157 8.2157
angles (deg): 155.49 155.49 34.94
Positions (direct):
P  0.0000  0.0000  0.0000
P  0.7500  0.2500  0.5000
Rh  0.2500  0.7500  0.5000
Rh  0.5000  0.5000  0.0000
F  0.1193  0.6250  0.9943
F  0.3750  0.3693  0.4943
F  0.6307  0.1250  0.0057
F  0.8750  0.8807  0.5057